DFT (SCAN) results for a crystal of Mn2Cu2Au relaxed with PBEsol.

As for the total DFT energy (no corrections): -26.71 eV per atom. The value obtained for the total magnetic moment is 0.001 μB/f.u. The density of states at the Fermi level comes out at 6.3 states/eV/cell.

It has space group I4/mmm (No. 139), with a = 3.088 Å, b = 3.088 Å, c = 13.634 Å, α = 90.00°, β = 90.00° and γ = 90.00°. The inequivalent atoms are Mn at (0.000, 0.500, 0.250), Cu at (0.000, 0.000, 0.105) and Au at (0.000, 0.000, 0.500).